Entry 1:
# Zr2Nb4Pb3N3

Crystalline Zr2Nb4Pb3N3 at its relaxed geometry (GGA-PBE, OQMD).

Summary:
For the magnetic moment, the calculation gives 0.000 μB/atom. As for the space-group type: C2/c, No. 15.

Lattice parameters (Å, degrees): 5.8554 5.8554 14.2692 101.80 101.80 60.08
Fractional coordinates of all 24 atoms:
N 0.6608 0.1792 0.0000
N 0.0000 0.5000 0.0000
N 0.3392 0.8208 0.0000
N 0.1792 0.6608 0.5000
N 0.5000 0.0000 0.5000
N 0.8208 0.3392 0.5000
Nb 0.6914 0.8665 0.0740
Nb 0.0338 0.1829 0.0741
Nb 0.8171 0.9662 0.4259
Nb 0.1335 0.3086 0.4260
Nb 0.8665 0.6914 0.5740
Nb 0.1829 0.0338 0.5741
Nb 0.9662 0.8171 0.9259
Nb 0.3086 0.1335 0.9260
Pb 0.7661 0.5817 0.2488
Pb 0.0678 0.9322 0.2500
Pb 0.4183 0.2339 0.2512
Pb 0.5817 0.7661 0.7488
Pb 0.9322 0.0678 0.7500
Pb 0.2339 0.4183 0.7512
Zr 0.3555 0.5277 0.0848
Zr 0.4723 0.6445 0.4152
Zr 0.5277 0.3555 0.5848
Zr 0.6445 0.4723 0.9152

=====

Entry 2:
# Zr4Nb2Pb3N3

Crystalline Zr4Nb2Pb3N3 at its relaxed geometry (GGA-PBE, OQMD).

Summary:
For the magnetic moment, the calculation gives 0.000 μB/atom. As for the space-group type: C2/c, No. 15.

Lattice parameters (Å, degrees): 5.9225 5.9225 14.4419 101.79 101.79 60.06
Fractional coordinates of all 24 atoms:
N 0.5000 0.0000 0.0000
N 0.8438 0.3287 0.0000
N 0.1562 0.6713 0.0000
N 0.3287 0.8438 0.5000
N 0.0000 0.5000 0.5000
N 0.6713 0.1562 0.5000
Nb 0.5241 0.3657 0.0721
Nb 0.6343 0.4759 0.4279
Nb 0.3657 0.5241 0.5721
Nb 0.4759 0.6343 0.9279
Pb 0.2615 0.4165 0.2490
Pb 0.9056 0.0944 0.2500
Pb 0.5835 0.7385 0.2510
Pb 0.4165 0.2615 0.7490
Pb 0.0944 0.9056 0.7500
Pb 0.7385 0.5835 0.7510
Zr 0.1998 0.0207 0.0807
Zr 0.8537 0.6943 0.0809
Zr 0.3057 0.1463 0.4191
Zr 0.9793 0.8002 0.4193
Zr 0.0207 0.1998 0.5807
Zr 0.6943 0.8537 0.5809
Zr 0.1463 0.3057 0.9191
Zr 0.8002 0.9793 0.9193

=====

Entry 3:
# Pm3Nb2N6

Crystalline Pm3Nb2N6 at its relaxed geometry (GGA-PBE, OQMD).

Summary:
For the magnetic moment, the calculation gives 0.000 μB/atom. As for the space-group type: I4/mmm, No. 139.

Lattice parameters (Å, degrees): 10.1547 10.1547 10.1547 156.99 156.99 32.76
Fractional coordinates of all 11 atoms:
N 0.2983 0.2983 0.0000
N 0.7017 0.7017 0.0000
N 0.5837 0.0837 0.5000
N 0.9163 0.4163 0.5000
N 0.0837 0.5837 0.5000
N 0.4163 0.9163 0.5000
Nb 0.3983 0.3983 0.0000
Nb 0.6017 0.6017 0.0000
Pm 0.0000 0.0000 0.0000
Pm 0.1782 0.1782 0.0000
Pm 0.8218 0.8218 0.0000

=====

no.,total DFT energy (no corrections) (eV for the cell shown)
1,-201.11
2,-199.46
3,-97.98